A.
First-principles (PBE) data for crystalline MnGeS2Cl at its relaxed geometry, as listed in Alexandria.

Results
SG   P4/mmm
Crystal system   tetragonal

a b c (Å): 4.835 4.835 4.821
angles (deg): 90.00 90.00 90.00
Element x y z (fractional)
Mn1 0.000 0.000 0.000
Ge1 0.500 0.500 0.500
S1 0.000 0.500 0.500
S2 0.500 0.000 0.500
Cl1 0.500 0.500 0.000

---

B.
First-principles (PBE) data for crystalline MnGeS2Cl at its relaxed geometry, as listed in Alexandria.

Results
SG   P4/mmm
Crystal system   tetragonal

a b c (Å): 4.695 4.695 4.643
angles (deg): 90.00 90.00 90.00
Element x y z (fractional)
Mn1 0.000 0.000 0.000
Ge1 0.500 0.500 0.500
S1 0.000 0.500 0.000
S2 0.500 0.000 0.000
Cl1 0.000 0.000 0.500

---

Least stable: A

---

A.
First-principles (PBE) data for crystalline Ge2MoCl at its relaxed geometry, as listed in Alexandria.

Results
SG   I-42d
Crystal system   tetragonal

a b c (Å): 7.316 7.316 7.316
angles (deg): 131.31 131.31 71.31
Element x y z (fractional)
Ge1 0.072 0.625 0.947
Ge2 0.375 0.322 0.447
Ge3 0.678 0.125 0.053
Ge4 0.875 0.928 0.553
Mo1 0.000 0.000 0.000
Mo2 0.750 0.250 0.500
Cl1 0.250 0.750 0.500
Cl2 0.500 0.500 0.000

---

B.
First-principles (PBE) data for crystalline Ge2MoCl at its relaxed geometry, as listed in Alexandria.

Results
SG   Fm-3m
Crystal system   cubic

a b c (Å): 4.662 4.662 4.662
angles (deg): 60.00 60.00 60.00
Element x y z (fractional)
Ge1 0.250 0.250 0.250
Ge2 0.750 0.750 0.750
Mo1 0.000 0.000 0.000
Cl1 0.500 0.500 0.500

---

Least stable: B

---

A.
First-principles (PBE) data for crystalline Ge2MoCl2 at its relaxed geometry, as listed in Alexandria.

Results
SG   I4/mmm
Crystal system   tetragonal

a b c (Å): 10.149 10.149 10.149
angles (deg): 160.38 160.38 27.88
Element x y z (fractional)
Ge1 0.066 0.066 0.000
Ge2 0.934 0.934 0.000
Mo1 0.500 0.500 0.000
Cl1 0.250 0.750 0.500
Cl2 0.750 0.250 0.500

---

B.
First-principles (PBE) data for crystalline Ge2MoCl2 at its relaxed geometry, as listed in Alexandria.

Results
SG   P4/mbm
Crystal system   tetragonal

a b c (Å): 7.231 7.231 5.050
angles (deg): 90.00 90.00 90.00
Element x y z (fractional)
Ge1 0.249 0.251 0.000
Ge2 0.251 0.751 0.000
Ge3 0.749 0.249 0.000
Ge4 0.751 0.749 0.000
Mo1 0.000 0.000 0.000
Mo2 0.500 0.500 0.000
Cl1 0.199 0.301 0.500
Cl2 0.301 0.801 0.500
Cl3 0.699 0.199 0.500
Cl4 0.801 0.699 0.500

---

Least stable: A